# Ag4Bi

An optimized crystal structure of Ag4Bi (PBE-GGA, the Alexandria database).

abc: 5.380 5.380 5.380
angles: 90.00 90.00 90.00
Space group Pm-3m (No. 221)
Asymmetric unit:
1 Ag 0.000 0.000 0.000 x1
2 Ag 0.000 0.500 0.500 x3
3 Bi 0.500 0.500 0.500 x1

Computed properties:
M_tot   0.00 μB/f.u.
Energy above the most stable polymorph in this dataset   0.535 eV per atom
V   31.1 Å³ per atom
Energy of formation from the pure elements   0.70 eV/atom